1.
# NaScI2 GGA-PBE optimized geometry
# Polymorph energy (0 for the lowest one)   0 meV per atom
# Raw formation energy   -773 meV per atom
# Total magnetic moment   0.0001 μB per atom
data_NaScI2
_space_group_name_H-M_alt 'R -3 m'
_space_group_IT_number 166
_space_group_name_Hall '-R 3 2"'
_cell_length_a 3.9721
_cell_length_b 3.9721
_cell_length_c 31.0070
_cell_angle_alpha 90.00
_cell_angle_beta 90.00
_cell_angle_gamma 120.00
loop_
_atom_site_label
_atom_site_type_symbol
_atom_site_fract_x
_atom_site_fract_y
_atom_site_fract_z
Na1 Na 0.0000 0.0000 0.0000
Sc1 Sc 0.0000 0.0000 0.5000
I1 I 0.0000 0.0000 0.2268


2.
# NaScI3 GGA-PBE optimized geometry
# Raw formation energy   -930 meV per atom
# Total magnetic moment   0.1884 μB per atom
data_NaScI3
_space_group_name_H-M_alt 'P m -3 m'
_space_group_IT_number 221
_space_group_name_Hall '-P 4 2 3'
_cell_length_a 5.842
_cell_length_b 5.842
_cell_length_c 5.842
_cell_angle_alpha 90.00
_cell_angle_beta 90.00
_cell_angle_gamma 90.00
loop_
_atom_site_label
_atom_site_type_symbol
_atom_site_fract_x
_atom_site_fract_y
_atom_site_fract_z
Na1 Na 0.000 0.000 0.000
Sc1 Sc 0.500 0.500 0.500
I1 I 0.000 0.500 0.500


| no. | theoretical density (g/cm3) | total DFT energy (no corrections) (Ha/atom) |
| --- | --- | --- |
| 1 | 3.78 | -0.12716 |
| 2 | 3.74 | -0.12461 |